Below is a geometry-optimized K2TlRhN structure, with properties calculated at the PBE level.

Properties
**DOS(E_F)**: 0.46 states/eV per atom

```
K2TlRhN
1.0
5.9546 0.0000 0.0000
0.0000 5.9546 0.0000
0.0000 0.0000 3.7562
K Rh N Tl
2 1 1 1
Cartesian
2.9773 0.0000 0.0000
0.0000 2.9773 0.0000
0.0000 0.0000 1.8781
0.0000 0.0000 0.0000
2.9773 2.9773 1.8781
```


Below is a geometry-optimized KRuN structure, with properties calculated at the PBE level.

Properties
**Offset from the most stable computed form**: 0 meV per atom

```
KRuN
1.0
-5.8147 1.0734 0.3245
-1.2723 -0.9691 -2.8791
-6.0252 -0.8764 2.9575
Ru N K
1 1 1
Cartesian
-8.7616 0.0779 1.9618
-4.0286 -0.1545 -1.9352
-5.6817 0.4858 0.4635
```


Below is a geometry-optimized KRuN structure, with properties calculated at the PBE level.

Properties
**DOS(E_F)**: 0.53 states/eV per atom
**Offset from the most stable computed form**: 37 meV per atom

```
KRuN
1.0
-2.8630 -0.4748 2.2780
1.6321 -2.9841 1.4293
4.4721 5.7079 6.8103
N K Ru
2 2 2
Cartesian
1.2599 3.1978 5.2377
2.5967 0.7806 3.4263
4.3178 2.9773 6.0472
-0.4611 1.0012 2.6167
2.2361 2.8539 3.4052
1.6206 1.1245 5.2588
```


Below is a geometry-optimized K3RuN structure, with properties calculated at the PBE level.

Properties
**DOS(E_F)**: 4.34 states/eV per atom
**Offset from the most stable computed form**: 0 meV per atom

```
K3RuN
1.0
-5.1924 -1.7726 0.6151
1.8106 -5.2085 0.2745
0.4922 0.4599 5.4798
Ru K N
1 3 1
Cartesian
-1.4448 -3.2606 3.1847
0.2461 0.2299 2.7399
0.9053 -2.6042 0.1372
-2.5962 -0.8863 0.3076
0.0000 0.0000 0.0000
```


Below is a geometry-optimized KRuN structure, with properties calculated at the PBE level.

Properties
**DOS(E_F)**: 0.28 states/eV per atom
**Offset from the most stable computed form**: 42 meV per atom

```
KRuN
1.0
3.7561 0.0000 0.0000
0.0000 6.5645 0.0000
0.0000 0.0000 11.2812
N K Ru
4 4 4
Cartesian
2.8171 2.3568 0.7972
0.9390 4.2077 10.4840
2.8171 5.6390 4.8434
0.9390 0.9255 6.4378
0.9390 2.5789 3.9588
2.8171 0.7033 9.5994
2.8171 3.9856 7.3224
0.9390 5.8611 1.6818
2.8171 0.6900 6.2203
0.9390 5.8745 5.0609
0.9390 2.5923 0.5797
2.8171 3.9722 10.7015
```


Below is a geometry-optimized KRuN structure, with properties calculated at the PBE level.

Properties
**DOS(E_F)**: 0.03 states/eV per atom
**Offset from the most stable computed form**: 26 meV per atom

```
KRuN
1.0
3.2912 0.0000 0.0000
-1.6456 2.8503 0.0000
0.0000 0.0000 5.6749
K Ru N
1 1 1
Cartesian
0.0000 0.0000 0.2300
0.0000 1.9002 2.9319
1.6456 0.9501 2.5130
```


Number 1: E_tot -3.9627 eV per atom, raw formation energy 0.08 eV per atom, total magnetization 0.000 μB/f.u.. Number 2: E_tot -6.0598 eV per atom, raw formation energy 0.17 eV per atom, total magnetization 0.000 μB/f.u.. Number 3: E_tot -6.0224 eV per atom, raw formation energy 0.21 eV per atom, total magnetization 0.000 μB/f.u.. Number 4: E_tot -2.8422 eV per atom, raw formation energy 1.34 eV per atom, total magnetization 2.811 μB/f.u.. Number 5: E_tot -6.0176 eV per atom, raw formation energy 0.22 eV per atom, total magnetization 0.000 μB/f.u.. Number 6: E_tot -6.0342 eV per atom, raw formation energy 0.20 eV per atom, total magnetization 0.000 μB/f.u..